# 1
A plane-wave DFT calculation with PBE-GGA was carried out for a relaxed Ag2PHS4 crystal.

The structure in CIF format:
```
data_Ag2PHS4
_cell_length_a 5.6106
_cell_length_b 5.6624
_cell_length_c 6.4306
_cell_angle_alpha 112.42
_cell_angle_beta 114.17
_cell_angle_gamma 94.69
_symmetry_space_group_name_H-M 'P 1'
_symmetry_Int_Tables_number 1
loop_
_symmetry_equiv_pos_as_xyz
'x,y,z'
loop_
_atom_site_label
_atom_site_type_symbol
_atom_site_fract_x
_atom_site_fract_y
_atom_site_fract_z
Ag1 Ag 0.0000 0.0000 0.0000
Ag2 Ag 0.1354 0.8045 0.4397
P1 P 0.7327 0.2361 0.4576
H1 H 0.5450 0.4497 0.7870
S1 S 0.0751 0.2182 0.7307
S2 S 0.4255 0.8880 0.2390
S3 S 0.6050 0.5611 0.6537
S4 S 0.8022 0.3499 0.2162
```



# 2
A plane-wave DFT calculation with PBE-GGA was carried out for a relaxed Y2Er5Fe2 crystal.

The structure in CIF format:
```
data_Y2Er5Fe2
_cell_length_a 19.7440
_cell_length_b 6.9787
_cell_length_c 6.9333
_cell_angle_alpha 90.00
_cell_angle_beta 90.00
_cell_angle_gamma 90.00
_symmetry_space_group_name_H-M 'C m c e'
_symmetry_Int_Tables_number 64
_symmetry_space_group_name_Hall '-C 2ac 2'
loop_
_atom_site_label
_atom_site_type_symbol
_atom_site_fract_x
_atom_site_fract_y
_atom_site_fract_z
Y1 Y 0.2326 0.0000 0.0000
Er1 Er 0.0000 0.0000 0.0000
Er2 Er 0.1067 0.1813 0.3211
Fe1 Fe 0.0000 0.1101 0.6062
```



# 3
A plane-wave DFT calculation with PBE-GGA was carried out for a relaxed TcRu crystal.

The structure in CIF format:
```
data_TcRu
_cell_length_a 4.3384
_cell_length_b 2.7455
_cell_length_c 4.7660
_cell_angle_alpha 90.00
_cell_angle_beta 90.00
_cell_angle_gamma 90.00
_symmetry_space_group_name_H-M 'P m m a'
_symmetry_Int_Tables_number 51
loop_
_symmetry_equiv_pos_as_xyz
'x,y,z'
'-x,-y,-z'
'-x+1/2,-y,z'
'x+1/2,y,-z'
'x+1/2,-y,-z'
'-x+1/2,y,z'
'-x,y,-z'
'x,-y,z'
loop_
_atom_site_label
_atom_site_type_symbol
_atom_site_fract_x
_atom_site_fract_y
_atom_site_fract_z
Tc1 Tc 0.2500 0.0000 0.1643
Ru1 Ru 0.2500 0.5000 0.6700
```



Results for final energy: -4.035 -5.822 -9.888 (in eV/atom, following the order of the records).
Results for V: 165.3 955.3 56.8 (in Å³/cell, following the order of the records).